Entry from Alexandria: a geometry-optimized NpTl2PbI8 structure (GGA-PBE).

Unit cell a=8.213 b=7.535 c=9.453 alpha=89.99 beta=90.01 gamma=91.33
Atoms (fractional coordinates):
Np 0.000 0.000 0.000
Tl 0.500 0.500 0.746
Tl 0.500 0.500 0.254
Pb 0.000 0.000 0.500
I 0.132 0.763 0.232
I 0.688 0.795 0.000
I 0.868 0.237 0.232
I 0.868 0.237 0.768
I 0.312 0.205 0.000
I 0.132 0.763 0.768
I 0.672 0.759 0.500
I 0.328 0.241 0.500

Computed properties:
The space group is P2/m (10). For the total energy, the calculation gives -3.50 eV/atom.